## Hf8Zr3Sc2 (PBE)

Data for a relaxed Hf8Zr3Sc2 crystal.

Properties
- DOS(E_F): 1.30 states/eV per atom
- E: -8.74 eV per atom
- Space group: No. 12

The structure in POSCAR format:
```
Hf8Zr3Sc2
1.0
5.870 0.000 0.483
0.000 7.925 0.000
-1.854 -3.962 6.575
Hf Sc Zr
8 2 3
direct
0.550 0.563 0.772 Hf
0.450 0.437 0.228 Hf
0.450 0.791 0.228 Hf
0.770 0.221 0.442 Hf
0.097 0.412 0.824 Hf
0.550 0.209 0.772 Hf
0.230 0.779 0.558 Hf
0.903 0.588 0.176 Hf
0.724 0.803 0.605 Sc
0.276 0.197 0.395 Sc
0.500 0.000 0.000 Zr
0.000 0.172 0.000 Zr
0.000 0.828 0.000 Zr
```

## SiNi2OsSe (PBE)

Data for a relaxed SiNi2OsSe crystal.

Properties
- DOS(E_F): 1.14 states/eV per atom
- E: -5.31 eV per atom
- Space group: No. 123

The structure in POSCAR format:
```
SiNi2OsSe
1.0
4.274 0.000 0.000
0.000 4.683 0.000
0.000 0.000 4.274
Ni Se Si Os
2 1 1 1
direct
0.500 0.000 0.000 Ni
0.000 0.000 0.500 Ni
0.000 0.000 0.000 Se
0.500 0.500 0.500 Si
0.000 0.500 0.000 Os
```

## CaTbAlHg (PBE)

Data for a relaxed CaTbAlHg crystal.

Properties
- DOS(E_F): 0.43 states/eV per atom
- Offset from the most stable computed form: 0.0 meV/atom
- Space group: No. 99

The structure in POSCAR format:
```
CaTbAlHg
1.0
3.639 0.000 0.000
0.000 3.639 0.000
0.000 0.000 7.728
Ca Hg Tb Al
1 1 1 1
direct
0.000 0.000 0.361 Ca
0.500 0.500 0.102 Hg
0.000 0.000 0.849 Tb
0.500 0.500 0.616 Al
```

## AlIr2Cl (PBE)

Data for a relaxed AlIr2Cl crystal.

Properties
- DOS(E_F): 0.69 states/eV per atom
- Offset from the most stable computed form: 269.0 meV/atom
- Space group: No. 10

The structure in POSCAR format:
```
AlIr2Cl
1.0
2.817 0.000 0.000
0.000 5.015 0.028
0.000 4.970 4.352
Cl Ir Al
1 2 1
direct
0.000 0.000 0.500 Cl
0.500 0.500 0.000 Ir
0.000 0.000 0.000 Ir
0.500 0.500 0.500 Al
```

## BeAuIO2 (PBE)

Data for a relaxed BeAuIO2 crystal.

Properties
- DOS(E_F): 0.42 states/eV per atom
- Offset from the most stable computed form: 608.1 meV/atom
- Space group: No. 123

The structure in POSCAR format:
```
BeAuIO2
1.0
-3.695 -0.128 1.256
1.260 -0.614 3.645
0.151 7.447 1.202
O Be Au I
2 1 1 1
direct
0.500 0.000 0.000 O
0.000 0.500 0.000 O
0.500 0.500 0.500 Be
0.000 0.000 0.000 Au
0.000 0.000 0.500 I
```

## DyTiTl2O6 (PBE)

Data for a relaxed DyTiTl2O6 crystal.

Properties
- DOS(E_F): 0.28 states/eV per atom
- E: -6.71 eV per atom
- Space group: No. 146

The structure in POSCAR format:
```
DyTiTl2O6
1.0
5.686 -0.001 0.000
2.842 4.925 0.000
2.842 1.642 4.986
O Tl Dy Ti
6 2 1 1
direct
0.676 0.110 0.784 O
0.110 0.429 0.784 O
0.168 0.006 0.252 O
0.006 0.574 0.252 O
0.429 0.677 0.785 O
0.575 0.167 0.252 O
0.541 0.541 0.376 Tl
0.034 0.034 0.899 Tl
0.810 0.810 0.569 Dy
0.312 0.312 0.064 Ti
```

## Ac2UTiN5 (PBE)

Data for a relaxed Ac2UTiN5 crystal.

Properties
- DOS(E_F): 0.28 states/eV per atom
- E: -9.02 eV per atom
- Space group: No. 36

The structure in POSCAR format:
```
Ac2UTiN5
1.0
-0.449 1.289 -3.310
1.645 -7.189 -1.086
-10.719 -2.524 0.472
N Ac Ti U
10 4 2 2
direct
0.052 0.104 0.029 N
0.304 0.608 0.389 N
0.375 0.750 0.006 N
0.718 0.436 0.135 N
0.696 0.392 0.889 N
0.282 0.564 0.635 N
0.504 0.009 0.297 N
0.948 0.896 0.529 N
0.625 0.250 0.506 N
0.496 0.991 0.797 N
0.135 0.271 0.297 Ac
0.892 0.784 0.196 Ac
0.108 0.216 0.696 Ac
0.865 0.729 0.797 Ac
0.489 0.977 0.467 Ti
0.511 0.023 0.967 Ti
0.789 0.578 0.509 U
0.211 0.422 0.009 U
```

## RePbW2 (PBE)

Data for a relaxed RePbW2 crystal.

Properties
- DOS(E_F): 0.61 states/eV per atom
- E: -9.72 eV per atom
- Space group: No. 71

The structure in POSCAR format:
```
RePbW2
1.0
5.451 0.003 -0.002
2.603 4.789 0.002
-3.597 -3.119 2.654
Re W Pb
1 2 1
direct
0.250 0.750 0.500 Re
0.007 0.007 0.000 W
0.493 0.493 0.000 W
0.750 0.250 0.500 Pb
```